Here is an optimized crystal structure of Ca2HfIr from Alexandria via LeMat-Bulk. Energies are from GGA-PBEsol.

a b c (Å): 4.980 4.980 4.980
angles (deg): 60.00 60.00 60.00
Last column: magnetic moment on the atom in μB.
Sites, in units of the cell vectors:
Hf: 0.000 0.000 0.000  0.25
Ir: 0.500 0.500 0.500  0.00
Ca: 0.250 0.250 0.250  0.03
Ca: 0.750 0.750 0.750  0.03

Calculated values
The energy relative to the elements comes out at 0.52 eV/atom. The space group is No. 225. The density of states at the Fermi level comes out at 5.0 states/eV/cell.

---

Here is an optimized crystal structure of RbTiNb3 from Alexandria via LeMat-Bulk. Energies are from GGA-PBEsol.

a b c (Å): 4.736 4.736 4.736
angles (deg): 90.00 90.00 90.00
Last column: magnetic moment on the atom in μB.
Sites, in units of the cell vectors:
Nb: 0.000 0.500 0.000  0.04
Nb: 0.500 0.000 0.000  0.04
Nb: 0.000 0.000 0.500  0.04
Rb: 0.000 0.000 0.000  0.01
Ti: 0.500 0.500 0.500  0.87

Calculated values
The energy relative to the elements comes out at 2.61 eV/atom. The space group is No. 221. The density of states at the Fermi level comes out at 6.3 states/eV/cell.